(1)
Tl4Se3 (GGA-PBE, relaxed); total moment = 0.00 Bohr magnetons per cell; E above lowest polymorph = 0.059 eV per atom; energy relative to the elements, uncorrected = -0.247 eV per atom; DOS at the Fermi energy = 2.86 states/eV/cell
1.0
-2.0740 2.0740 13.4552
2.0740 -2.0740 13.4552
2.0740 2.0740 -13.4552
Tl Se
4 3
direct
0.0600 0.0600 0.0000
0.3003 0.3003 0.0000
0.6997 0.6997 0.0000
0.9400 0.9400 0.0000
0.1866 0.1866 0.0000
0.5000 0.5000 0.0000
0.8134 0.8134 0.0000

(2)
TlSe (GGA-PBE, relaxed); total moment = 0.00 Bohr magnetons per cell; energy relative to the elements, uncorrected = -0.163 eV per atom; DOS at the Fermi energy = 4.38 states/eV/cell
1.0
-6.2561 6.2561 2.2059
6.2561 -6.2561 2.2059
6.2561 6.2561 -2.2059
Tl Se
4 4
direct
0.1243 0.7137 0.8380
0.2863 0.1243 0.4105
0.7137 0.8757 0.5895
0.8757 0.2863 0.1620
0.1012 0.2709 0.3721
0.2709 0.8988 0.1696
0.7291 0.1012 0.8304
0.8988 0.7291 0.6279

(3)
TlSe (GGA-PBE, relaxed); total moment = 0.00 Bohr magnetons per cell; energy relative to the elements, uncorrected = -0.183 eV per atom; DOS at the Fermi energy = 1.13 states/eV/cell
1.0
5.2524 0.0000 0.0000
0.0000 5.2524 0.0000
0.0000 0.0000 4.1609
Tl Se
2 2
direct
0.2500 0.7500 0.0000
0.7500 0.2500 0.0000
0.2500 0.2500 0.3305
0.7500 0.7500 0.6695

(4)
TlSe (GGA-PBE, relaxed); total moment = 0.00 Bohr magnetons per cell; energy relative to the elements, uncorrected = -0.192 eV per atom; DOS at the Fermi energy = 0.62 states/eV/cell
1.0
4.1187 0.0000 0.0000
-2.0593 3.5669 0.0000
0.0000 0.0000 3.8538
Tl Se
1 1
direct
0.0000 0.0000 0.0000
0.3333 0.6667 0.5000

(5)
TlSe2 (GGA-PBE, relaxed); total moment = 0.00 Bohr magnetons per cell; E above lowest polymorph = 0.410 eV per atom; energy relative to the elements, uncorrected = 0.233 eV per atom; DOS at the Fermi energy = 7.65 states/eV/cell
1.0
5.3330 0.0000 0.0000
-2.6665 4.6185 0.0000
0.0000 0.0000 5.9580
Tl Se
2 4
direct
0.3333 0.6667 0.2500
0.6667 0.3333 0.7500
0.0000 0.0000 0.0000
0.0000 0.0000 0.5000
0.3333 0.6667 0.7500
0.6667 0.3333 0.2500

(6)
TlSe3 (GGA-PBE, relaxed); total moment = 0.00 Bohr magnetons per cell; energy relative to the elements, uncorrected = 0.133 eV per atom; DOS at the Fermi energy = 2.13 states/eV/cell
1.0
2.9253 0.0000 0.0000
0.0000 6.2144 0.0000
-0.0362 0.0000 6.1045
Tl Se
1 3
direct
0.0000 0.0000 0.0000
0.4976 0.5000 0.8064
0.5000 0.0000 0.5000
0.5024 0.5000 0.1936

(7)
TlSe2 (GGA-PBE, relaxed); total moment = 2.07 Bohr magnetons per cell; E above lowest polymorph = 0.246 eV per atom; energy relative to the elements, uncorrected = 0.070 eV per atom; DOS at the Fermi energy = 16.64 states/eV/cell
1.0
5.2982 0.0000 0.0000
-2.6491 4.5884 0.0000
0.0000 0.0000 15.6503
Tl Se
4 8
direct
0.3333 0.6667 0.0812
0.3333 0.6667 0.4188
0.6667 0.3333 0.5812
0.6667 0.3333 0.9188
0.0000 0.0000 0.0000
0.0000 0.0000 0.5000
0.1655 0.3310 0.7500
0.1655 0.8345 0.7500
0.3310 0.1655 0.2500
0.6690 0.8345 0.7500
0.8345 0.1655 0.2500
0.8345 0.6690 0.2500

(8)
Tl7Se5 (GGA-PBE, relaxed); total moment = 0.00 Bohr magnetons per cell; energy relative to the elements, uncorrected = -0.315 eV per atom; DOS at the Fermi energy = 4.22 states/eV/cell
1.0
7.4152 -2.2376 0.0000
7.4152 2.2376 0.0000
-4.0005 0.0000 11.8142
Tl Se
7 5
direct
0.0000 0.0000 0.0000
0.1615 0.1615 0.5495
0.2447 0.2447 0.8542
0.4624 0.4624 0.7115
0.5376 0.5376 0.2885
0.7553 0.7553 0.1458
0.8385 0.8385 0.4505
0.1581 0.1581 0.2837
0.3801 0.3801 0.0909
0.5000 0.5000 0.5000
0.6199 0.6199 0.9091
0.8419 0.8419 0.7163

(9)
TlSe (GGA-PBE, relaxed); total moment = 0.00 Bohr magnetons per cell; energy relative to the elements, uncorrected = -0.216 eV per atom; DOS at the Fermi energy = 8.11 states/eV/cell
1.0
12.2179 0.0000 0.0000
0.0000 12.2179 0.0000
0.0000 0.0000 4.5618
Tl Se
8 8
direct
0.0590 0.2979 0.0000
0.2743 0.6276 0.5000
0.2979 0.9410 0.0000
0.3724 0.2743 0.5000
0.6276 0.7257 0.5000
0.7021 0.0590 0.0000
0.7257 0.3724 0.5000
0.9410 0.7021 0.0000
0.0877 0.4593 0.5000
0.1658 0.7490 0.0000
0.2510 0.1658 0.0000
0.4593 0.9123 0.5000
0.5407 0.0877 0.5000
0.7490 0.8342 0.0000
0.8342 0.2510 0.0000
0.9123 0.5407 0.5000

(10)
Tl5Se4 (GGA-PBE, relaxed); total moment = 0.00 Bohr magnetons per cell; E above lowest polymorph = 0.000 eV per atom; energy relative to the elements, uncorrected = -0.272 eV per atom; DOS at the Fermi energy = 2.85 states/eV/cell
1.0
4.3269 0.0000 0.0000
-2.1397 7.3054 0.0000
-0.0126 -3.6733 8.6196
Tl Se
5 4
direct
0.0000 0.0000 0.0000
0.3276 0.6490 0.2112
0.3500 0.7038 0.5884
0.6500 0.2962 0.4116
0.6724 0.3510 0.7888
0.0016 0.9994 0.3012
0.3442 0.6918 0.9026
0.6558 0.3082 0.0974
0.9984 0.0006 0.6988

(11)
Tl3Se (GGA-PBE, relaxed); total moment = 0.00 Bohr magnetons per cell; energy relative to the elements, uncorrected = -0.190 eV per atom; DOS at the Fermi energy = 0.76 states/eV/cell
1.0
4.0372 0.0000 0.0000
0.0000 4.0372 0.0000
0.0000 0.0000 7.2071
Tl Se
3 1
direct
0.0000 0.0000 0.0000
0.5000 0.5000 0.2742
0.5000 0.5000 0.7258
0.0000 0.0000 0.5000

(12)
TlSe6 (GGA-PBE, relaxed); total moment = 0.00 Bohr magnetons per cell; energy relative to the elements, uncorrected = 0.391 eV per atom; DOS at the Fermi energy = 7.62 states/eV/cell
1.0
-3.8722 3.8722 3.8722
3.8722 -3.8722 3.8722
3.8722 3.8722 -3.8722
Tl Se
1 6
direct
0.0000 0.0000 0.0000
0.2500 0.5000 0.7500
0.2500 0.7500 0.5000
0.5000 0.2500 0.7500
0.5000 0.7500 0.2500
0.7500 0.2500 0.5000
0.7500 0.5000 0.2500